This record from the Open Quantum Materials Database describes an optimized crystal structure of BeCdHg2. The functional is GGA-PBE.

* ρ: 10.615 g cm⁻³
* crystal system: cubic
* DFT total energy: -0.80 eV/atom

Geometry as extended XYZ:
```
4
Lattice="0.000 3.445 3.445 3.445 0.000 3.445 3.445 3.445 0.000" Properties=species:S:1:pos:R:3 pbc="T T T"
Be 0.000 0.000 0.000
Cd 1.722 1.722 1.722
Hg 3.445 3.445 3.445
Hg 5.167 5.167 5.167
```



This record from the Open Quantum Materials Database describes an optimized crystal structure of GdErSn2Ir4. The functional is GGA-PBE.

* ρ: 13.912 g cm⁻³
* crystal system: hexagonal
* magnetization: 0.00 μB/cell
* DFT total energy: -7.14 eV/atom

Geometry as extended XYZ:
```
8
Lattice="4.504 0.000 0.000 -2.252 3.901 0.000 0.000 0.000 9.040" Properties=species:S:1:pos:R:3 pbc="T T T"
Gd 0.000 0.000 0.000
Er 0.000 2.601 4.520
Sn 2.252 1.300 2.276
Sn 2.252 1.300 6.764
Ir 0.000 0.000 3.175
Ir 0.000 0.000 5.865
Ir 0.000 2.601 1.386
Ir 0.000 2.601 7.654
```



This record from the Open Quantum Materials Database describes an optimized crystal structure of Ho3HfC2Se2. The functional is GGA-PBE.

* ρ: 9.449 g cm⁻³
* crystal system: trigonal
* magnetization: 0.01 μB/cell
* DFT total energy: -7.29 eV/atom

Geometry as extended XYZ:
```
8
Lattice="3.643 0.000 0.000 -1.821 3.155 0.000 0.000 0.000 13.079" Properties=species:S:1:pos:R:3 pbc="T T T"
Ho 0.000 0.000 0.000
Ho 0.000 0.000 3.981
Ho 1.821 1.052 10.427
Hf 1.821 1.052 6.500
C 0.000 2.103 5.426
C 0.000 2.103 11.721
Se 0.000 0.000 8.332
Se 1.821 1.052 2.017
```



This record from the Open Quantum Materials Database describes an optimized crystal structure of LiHgPO. The functional is GGA-PBE.

* ρ: 7.074 g cm⁻³
* crystal system: tetragonal
* DFT total energy: -3.15 eV/atom
* offset from the most stable computed form: 444.7 meV/atom

Geometry as extended XYZ:
```
8
Lattice="4.863 0.000 0.000 0.000 4.863 0.000 0.000 0.000 5.054" Properties=species:S:1:pos:R:3 pbc="T T T"
Li 1.216 3.647 0.000
Li 3.647 1.216 0.000
Hg 1.216 1.216 2.470
Hg 3.647 3.647 2.583
P 1.216 1.216 5.003
P 3.647 3.647 0.051
O 1.216 3.647 2.527
O 3.647 1.216 2.527
```



This record from the Open Quantum Materials Database describes an optimized crystal structure of SmAl3Zn3. The functional is GGA-PBE.

* ρ: 4.696 g cm⁻³
* crystal system: hexagonal
* magnetization: 0.00 μB/cell
* DFT total energy: -2.82 eV/atom

Geometry as extended XYZ:
```
14
Lattice="4.438 0.000 0.000 -2.219 3.843 0.000 0.000 0.000 17.728" Properties=species:S:1:pos:R:3 pbc="T T T"
Sm 0.000 0.000 0.000
Sm 0.000 0.000 8.864
Al 0.000 2.562 1.936
Al 0.000 2.562 6.928
Al 0.000 2.562 13.296
Al 2.219 1.281 4.432
Al 2.219 1.281 10.799
Al 2.219 1.281 15.792
Zn 0.000 2.562 4.432
Zn 0.000 2.562 10.648
Zn 0.000 2.562 15.943
Zn 2.219 1.281 1.785
Zn 2.219 1.281 7.079
Zn 2.219 1.281 13.296
```



This record from the Open Quantum Materials Database describes an optimized crystal structure of SbPdAu4. The functional is GGA-PBE.

* ρ: 11.240 g cm⁻³
* crystal system: orthorhombic
* DFT total energy: -3.37 eV/atom

Geometry as extended XYZ:
```
6
Lattice="4.013 -4.068 0.000 4.013 4.068 0.000 0.000 0.000 4.597" Properties=species:S:1:pos:R:3 pbc="T T T"
Sb 0.000 0.000 0.000
Pd 4.013 0.000 2.299
Au 4.013 2.602 2.299
Au 2.646 0.000 0.000
Au 5.380 0.000 0.000
Au 4.013 -2.602 2.299
```



This record from the Open Quantum Materials Database describes an optimized crystal structure of Y2HoAl3Ge2Au. The functional is GGA-PBE.

* ρ: 6.921 g cm⁻³
* crystal system: orthorhombic
* magnetization: 0.01 μB/cell
* DFT total energy: -5.31 eV/atom

Geometry as extended XYZ:
```
9
Lattice="4.243 0.000 0.000 0.000 6.123 3.536 0.000 -6.123 3.536" Properties=species:S:1:pos:R:3 pbc="T T T"
Y 0.000 -3.594 3.536
Y 0.000 3.594 3.536
Ho 0.000 0.000 4.380
Al 2.122 -1.460 2.308
Al 2.122 1.460 2.308
Al 2.122 0.000 6.845
Ge 2.122 -2.031 4.995
Ge 2.122 2.031 4.995
Au 0.000 0.000 1.477
```



This record from the Open Quantum Materials Database describes an optimized crystal structure of RbHfPdSe3. The functional is GGA-PBE.

* ρ: 6.360 g cm⁻³
* crystal system: monoclinic
* magnetization: 0.00 μB/cell
* DFT total energy: -5.51 eV/atom

Geometry as extended XYZ:
```
12
Lattice="8.667 0.000 0.000 0.000 3.878 0.000 -3.951 0.000 9.435" Properties=species:S:1:pos:R:3 pbc="T T T"
Rb 1.053 0.969 2.632
Rb 3.662 2.908 6.803
Hf -0.672 2.908 7.916
Hf 5.387 0.969 1.519
Pd -1.570 0.969 5.676
Pd 6.285 2.908 3.759
Se -2.502 0.969 8.134
Se -0.026 2.908 5.340
Se 3.466 2.908 1.232
Se 1.249 0.969 8.203
Se 4.741 0.969 4.094
Se 7.218 2.908 1.301
```



This record from the Open Quantum Materials Database describes an optimized crystal structure of AcCd3. The functional is GGA-PBE.

* ρ: 8.581 g cm⁻³
* crystal system: orthorhombic
* magnetization: 0.03 μB/cell
* calculated formation energy: -1.282 eV per formula unit
* DFT total energy: -2.02 eV/atom

Geometry as extended XYZ:
```
8
Lattice="2.529 -5.769 0.000 2.529 5.769 0.000 0.000 0.000 7.485" Properties=species:S:1:pos:R:3 pbc="T T T"
Ac 2.529 4.715 5.613
Ac 2.529 -4.715 1.871
Cd 2.529 3.399 1.871
Cd 2.529 1.414 4.164
Cd 2.529 1.414 7.063
Cd 2.529 -1.414 0.421
Cd 2.529 -1.414 3.321
Cd 2.529 -3.399 5.613
```



This record from the Open Quantum Materials Database describes an optimized crystal structure of Rb2Zn2O5. The functional is GGA-PBE.

* ρ: 3.899 g cm⁻³
* crystal system: tetragonal
* DFT total energy: -3.59 eV/atom
* offset from the most stable computed form: 338.4 meV/atom

Geometry as extended XYZ:
```
9
Lattice="3.909 0.000 0.000 0.000 3.909 0.000 0.000 0.000 10.638" Properties=species:S:1:pos:R:3 pbc="T T T"
Rb 0.000 0.000 2.643
Rb 0.000 0.000 7.995
Zn 1.955 1.955 0.000
Zn 1.955 1.955 5.319
O 0.000 0.000 5.319
O 0.000 1.955 0.736
O 0.000 1.955 9.902
O 1.955 0.000 0.736
O 1.955 0.000 9.902
```



This record from the Open Quantum Materials Database describes an optimized crystal structure of NdPaPb. The functional is GGA-PBE.

* ρ: 9.339 g cm⁻³
* crystal system: cubic
* magnetization: 2.07 μB/cell
* DFT total energy: -5.60 eV/atom
* offset from the most stable computed form: 0.0 meV/atom

Geometry as extended XYZ:
```
3
Lattice="0.000 3.727 3.727 3.727 0.000 3.727 3.727 3.727 0.000" Properties=species:S:1:pos:R:3 pbc="T T T"
Nd 0.000 0.000 0.000
Pa 3.727 3.727 3.727
Pb 1.864 1.864 1.864
```



This record from the Open Quantum Materials Database describes an optimized crystal structure of Rb2PdBrF3. The functional is GGA-PBE.

* ρ: 4.568 g cm⁻³
* crystal system: orthorhombic
* DFT total energy: -3.95 eV/atom

Geometry as extended XYZ:
```
7
Lattice="3.786 0.000 0.000 0.000 5.041 3.946 0.000 -5.041 3.946" Properties=species:S:1:pos:R:3 pbc="T T T"
Rb 0.000 -2.933 3.946
Rb 0.000 2.933 3.946
Pd 1.893 0.000 5.645
Br 1.893 0.000 3.235
F 1.893 -1.996 5.729
F 1.893 1.996 5.729
F 1.893 0.000 7.694
```